[1]
Density functional theory data (PBE-GGA) for Tb5SiBi2 after structural relaxation.

Unit cell a=5.922 b=5.771 c=16.285 alpha=90.00 beta=90.00 gamma=120.87
Atoms (fractional coordinates):
Si1 0.738 0.476 0.750
Si2 0.262 0.524 0.250
Bi1 0.244 0.488 0.562
Bi2 0.756 0.512 0.438
Bi3 0.756 0.512 0.062
Bi4 0.244 0.488 0.938
Tb1 0.916 0.833 0.613
Tb2 0.916 0.833 0.887
Tb3 0.084 0.167 0.387
Tb4 0.749 0.499 0.250
Tb5 0.578 0.157 0.894
Tb6 0.084 0.167 0.113
Tb7 0.422 0.843 0.106
Tb8 0.578 0.157 0.606
Tb9 0.422 0.843 0.394
Tb10 0.251 0.501 0.750

Properties
Fermi-level density of states (states/eV per atom): 1.230
Spin magnetization (μB/cell): 0.01
Calculated total energy (eV per cell): -78.42
Uncorrected formation energy (meV/atom): -359
Space group: Cmcm

[2]
Density functional theory data (PBE-GGA) for LiSc3Rh3 after structural relaxation.

Unit cell a=6.330 b=6.330 c=6.236 alpha=90.00 beta=90.00 gamma=90.49
Atoms (fractional coordinates):
Sc1 0.255 0.745 0.000
Sc2 0.744 0.744 0.500
Sc3 0.758 0.242 0.500
Sc4 0.745 0.255 0.000
Sc5 0.242 0.758 0.500
Sc6 0.256 0.256 0.500
Rh1 0.000 0.500 0.248
Rh2 0.500 0.000 0.752
Rh3 0.000 0.000 0.245
Rh4 0.000 0.500 0.752
Rh5 0.000 0.000 0.755
Rh6 0.500 0.000 0.248
Li1 0.247 0.247 0.000
Li2 0.753 0.753 0.000

Properties
Formation energy from the elements (eV/f.u.): -4.837
Fermi-level density of states (states/eV per atom): 0.486
Spin magnetization (μB/cell): 0.00
Calculated total energy (eV per cell): -95.60
Space group: Cmmm

[3]
Density functional theory data (PBE-GGA) for Ac2SiPd3 after structural relaxation.

Unit cell a=4.183 b=4.408 c=7.909 alpha=90.00 beta=90.00 gamma=90.00
Atoms (fractional coordinates):
Pd1 0.500 0.000 0.192
Pd2 0.500 0.000 0.843
Pd3 0.500 0.500 0.633
Si1 0.500 0.500 0.325
Ac1 0.000 0.000 0.511
Ac2 0.000 0.500 0.998

Properties
Fermi-level density of states (states/eV per atom): 0.444
Spin magnetization (μB/cell): 0.00
Calculated total energy (eV per cell): -34.28
Uncorrected formation energy (meV/atom): -844
Space group: Pmm2

[4]
Density functional theory data (PBE-GGA) for RbZnPt2 after structural relaxation.

Unit cell a=5.111 b=5.111 c=9.358 alpha=74.15 beta=74.15 gamma=90.00
Atoms (fractional coordinates):
Pt1 0.875 0.582 0.750
Pt2 0.375 0.668 0.750
Pt3 0.418 0.625 0.250
Pt4 0.332 0.125 0.250
Zn1 0.500 0.500 0.000
Zn2 0.250 0.750 0.500
Rb1 0.750 0.250 0.500
Rb2 0.000 0.000 0.000

Properties
Formation energy from the elements (eV/f.u.): -0.156
Fermi-level density of states (states/eV per atom): 0.529
Spin magnetization (μB/cell): 0.00
Calculated total energy (eV per cell): -28.96
Space group: I-42d

[5]
Density functional theory data (PBE-GGA) for HfTlFe2Hg after structural relaxation.

Unit cell a=4.732 b=5.697 c=4.732 alpha=90.00 beta=90.00 gamma=90.00
Each line ends with the local moment (μB).
Atoms (fractional coordinates):
Hg1 0.500 0.500 0.500  0.02
Fe1 0.500 0.000 0.000  2.33
Fe2 0.000 0.000 0.500  2.31
Hf1 0.000 0.000 0.000  -0.54
Tl1 0.000 0.500 0.000  -0.02

Properties
Formation energy from the elements (eV/f.u.): 6.226
Fermi-level density of states (states/eV per atom): 1.719
Spin magnetization (μB/cell): 4.13
Calculated total energy (eV per cell): -23.32
Space group: P4/mmm

[6]
Density functional theory data (PBE-GGA) for Ho4AuC2 after structural relaxation.

Unit cell a=3.651 b=6.362 c=12.861 alpha=90.00 beta=90.00 gamma=106.67
Each line ends with the local moment (μB).
Atoms (fractional coordinates):
Ho1 0.500 0.000 0.500  0.10
Ho2 0.500 0.000 0.000  0.10
Ho3 0.765 0.531 0.396  0.06
Ho4 0.076 0.152 0.250  0.04
Ho5 0.765 0.531 0.104  0.06
Ho6 0.235 0.469 0.896  0.06
Ho7 0.924 0.848 0.750  0.04
Ho8 0.235 0.469 0.604  0.06
Au1 0.611 0.223 0.750  0.03
Au2 0.389 0.777 0.250  0.03
C1 0.865 0.730 0.939  0.01
C2 0.135 0.270 0.439  0.01
C3 0.865 0.730 0.561  0.01
C4 0.135 0.270 0.061  0.01

Properties
Formation energy from the elements (eV/f.u.): -2.916
Fermi-level density of states (states/eV per atom): 0.894
Spin magnetization (μB/cell): 0.89
Calculated total energy (eV per cell): -85.90
Space group: Cmcm

[7]
Density functional theory data (PBE-GGA) for SrLa2SiO after structural relaxation.

Unit cell a=4.969 b=4.969 c=5.010 alpha=90.00 beta=90.00 gamma=90.00
Atoms (fractional coordinates):
Sr1 0.000 0.000 0.500
La1 0.500 0.000 0.000
La2 0.000 0.500 0.000
Si1 0.500 0.500 0.500
O1 0.000 0.000 0.000

Properties
Fermi-level density of states (states/eV per atom): 0.730
Spin magnetization (μB/cell): 0.00
Calculated total energy (eV per cell): -28.33
Uncorrected formation energy (meV/atom): -1282
Space group: P4/mmm

[8]
Density functional theory data (PBE-GGA) for Tm7InCo2 after structural relaxation.

Unit cell a=4.904 b=7.897 c=7.897 alpha=112.96 beta=90.00 gamma=90.00
Atoms (fractional coordinates):
Co1 0.500 0.702 0.298
Co2 0.500 0.298 0.702
Tm1 0.500 0.948 0.683
Tm2 0.000 0.708 0.292
Tm3 0.500 0.683 0.948
Tm4 0.500 0.500 0.500
Tm5 0.000 0.292 0.708
Tm6 0.500 0.317 0.052
Tm7 0.500 0.052 0.317
In1 0.000 0.000 0.000

Properties
Formation energy from the elements (eV/f.u.): -0.629
Fermi-level density of states (states/eV per atom): 0.788
Spin magnetization (μB/cell): 0.00
Calculated total energy (eV per cell): -48.88
Space group: Cmmm